Record 1
A plane-wave DFT calculation with GGA-PBE was carried out for HgWAu2 after structural relaxation.

Unit cell a=4.4927 b=2.8165 c=5.9480 alpha=76.27 beta=90.00 gamma=90.00
Fractional coordinates of all 4 atoms:
Hg (0.0000, 0.4456, 0.4837)
W (0.5000, 0.7942, 0.7875)
Au (0.0000, 0.2035, 0.9671)
Au (0.5000, 0.0567, 0.2617)

Properties
The value obtained for the density of states at the Fermi level is 2.50 states/eV/f.u. The calculated volume comes out at 18.3 A^3/atom. The calculation puts the total energy at -4.4343 eV/atom. As for the space-group type: Amm2. The magnetization is 0.0 Bohr magnetons per cell. The formation energy comes out at 518 meV per atom.


Record 2
A plane-wave DFT calculation with GGA-PBE was carried out for YHfBeP2 after structural relaxation.

Unit cell a=4.9140 b=4.5157 c=4.9140 alpha=90.00 beta=90.00 gamma=90.00
Fractional coordinates of all 5 atoms:
P (0.0000, 0.0000, 0.5000)
P (0.5000, 0.0000, 0.0000)
Y (0.5000, 0.5000, 0.5000)
Be (0.0000, 0.5000, 0.0000)
Hf (0.0000, 0.0000, 0.0000)

Properties
The value obtained for the density of states at the Fermi level is 2.22 states/eV/f.u. The calculated volume comes out at 21.8 A^3/atom. The calculation puts the total energy at -6.2641 eV/atom. As for the space-group type: P4/mmm. The magnetization is 0.0 Bohr magnetons per cell. The formation energy comes out at -71 meV per atom.


Please write out number 2 again, unchanged.
A plane-wave DFT calculation with GGA-PBE was carried out for YHfBeP2 after structural relaxation.

Unit cell a=4.9140 b=4.5157 c=4.9140 alpha=90.00 beta=90.00 gamma=90.00
Fractional coordinates of all 5 atoms:
P (0.0000, 0.0000, 0.5000)
P (0.5000, 0.0000, 0.0000)
Y (0.5000, 0.5000, 0.5000)
Be (0.0000, 0.5000, 0.0000)
Hf (0.0000, 0.0000, 0.0000)

Properties
The value obtained for the density of states at the Fermi level is 2.22 states/eV/f.u. The calculated volume comes out at 21.8 A^3/atom. The calculation puts the total energy at -6.2641 eV/atom. As for the space-group type: P4/mmm. The magnetization is 0.0 Bohr magnetons per cell. The formation energy comes out at -71 meV per atom.